(1)
Compound: KSiB
Source: the Alexandria database
Functional: GGA-PBE
Structure: relaxed

## Properties
* D(E_F): 0.2 states/eV/cell
* raw formation energy: 216 meV/atom

```
data_KSiB
_cell_length_a 3.509
_cell_length_b 6.192
_cell_length_c 6.604
_cell_angle_alpha 76.62
_cell_angle_beta 78.37
_cell_angle_gamma 87.35
_space_group_name_H-M_alt 'P -1'
_space_group_IT_number 2
_space_group_name_Hall '-P 1'
loop_
_atom_site_label
_atom_site_fract_x
_atom_site_fract_y
_atom_site_fract_z
K1 0.098 0.311 0.303
Si1 0.414 0.183 0.793
B1 0.142 0.910 0.058
```

(2)
Compound: KSiB
Source: the Alexandria database
Functional: GGA-PBE
Structure: relaxed

## Properties
* D(E_F): 2.6 states/eV/cell
* raw formation energy: 367 meV/atom

```
data_KSiB
_cell_length_a 3.428
_cell_length_b 4.065
_cell_length_c 10.602
_cell_angle_alpha 90.00
_cell_angle_beta 90.00
_cell_angle_gamma 90.00
_space_group_name_H-M_alt 'P m m n'
_space_group_IT_number 59
loop_
_space_group_symop_operation_xyz
'x,y,z'
'-x,-y,-z'
'-x+1/2,-y+1/2,z'
'x+1/2,y+1/2,-z'
'x+1/2,-y,-z'
'-x+1/2,y,z'
'-x,y+1/2,-z'
'x,-y+1/2,z'
loop_
_atom_site_label
_atom_site_fract_x
_atom_site_fract_y
_atom_site_fract_z
K1 0.250 0.250 0.199
Si1 0.250 0.250 0.540
B1 0.250 0.750 0.575
```

(3)
Compound: KSiB
Source: the Alexandria database
Functional: GGA-PBE
Structure: relaxed

## Properties
* D(E_F): 0.5 states/eV/cell
* raw formation energy: 175 meV/atom

```
data_KSiB
_cell_length_a 9.900
_cell_length_b 5.213
_cell_length_c 5.928
_cell_angle_alpha 90.00
_cell_angle_beta 118.48
_cell_angle_gamma 90.00
_space_group_name_H-M_alt 'C 1 m 1'
_space_group_IT_number 8
_space_group_name_Hall 'C -2y'
loop_
_atom_site_label
_atom_site_fract_x
_atom_site_fract_y
_atom_site_fract_z
K1 0.000 0.000 0.000
K2 0.220 0.000 0.705
Si1 0.044 0.500 0.362
Si2 0.264 0.500 0.315
B1 0.360 0.160 0.339
```

(4)
Compound: K2SiB
Source: the Alexandria database
Functional: GGA-PBE
Structure: relaxed

## Properties
* D(E_F): 11.0 states/eV/cell
* raw formation energy: 355 meV/atom
* polymorph energy (0 for the lowest one): 0.0000 eV/atom

```
data_K2SiB
_cell_length_a 12.426
_cell_length_b 12.426
_cell_length_c 3.723
_cell_angle_alpha 90.00
_cell_angle_beta 90.00
_cell_angle_gamma 90.00
_space_group_name_H-M_alt 'I -4 2 d'
_space_group_IT_number 122
_space_group_name_Hall 'I -4 2bw'
loop_
_atom_site_label
_atom_site_fract_x
_atom_site_fract_y
_atom_site_fract_z
K1 0.025 0.250 0.125
Si1 0.000 0.000 0.500
B1 0.000 0.000 0.000
```

(5)
Compound: KSiB
Source: the Alexandria database
Functional: GGA-PBE
Structure: relaxed

## Properties
* D(E_F): 0.8 states/eV/cell
* raw formation energy: 532 meV/atom

```
data_KSiB
_cell_length_a 6.785
_cell_length_b 7.622
_cell_length_c 6.280
_cell_angle_alpha 90.00
_cell_angle_beta 90.00
_cell_angle_gamma 90.00
_space_group_name_H-M_alt 'C m c m'
_space_group_IT_number 63
_space_group_name_Hall '-C 2c 2'
loop_
_atom_site_label
_atom_site_fract_x
_atom_site_fract_y
_atom_site_fract_z
K1 0.000 0.138 0.250
Si1 0.000 0.361 0.750
B1 0.000 0.500 0.000
```

(6)
Compound: K2SiB
Source: the Alexandria database
Functional: GGA-PBE
Structure: relaxed

## Properties
* D(E_F): 12.4 states/eV/cell
* raw formation energy: 1356 meV/atom
* polymorph energy (0 for the lowest one): 1.0005 eV/atom

```
data_K2SiB
_cell_length_a 7.686
_cell_length_b 7.686
_cell_length_c 7.686
_cell_angle_alpha 90.00
_cell_angle_beta 90.00
_cell_angle_gamma 90.00
_space_group_name_H-M_alt 'F m -3 m'
_space_group_IT_number 225
_space_group_name_Hall '-F 4 2 3'
loop_
_atom_site_label
_atom_site_fract_x
_atom_site_fract_y
_atom_site_fract_z
K1 0.250 0.250 0.250
Si1 0.000 0.000 0.000
B1 0.000 0.000 0.500
```